Record 1
# TcHg2Au PBE relaxed
# - Energy of formation: 0.59 eV per atom
# - Energy relative to the lowest polymorph listed for this composition: 160 meV/atom
# - Fermi-level density of states: 3.62 states/eV/f.u.
data_TcHg2Au
_chemical_formula_sum 'Tc4 Hg8 Au4'
_symmetry_space_group_name_H-M 'F m -3 m'
_symmetry_Int_Tables_number 225
_symmetry_space_group_name_Hall '-F 4 2 3'
_cell_length_a 6.745
_cell_length_b 6.745
_cell_length_c 6.745
_cell_angle_alpha 90.00
_cell_angle_beta 90.00
_cell_angle_gamma 90.00
loop_
_atom_site_label
_atom_site_type_symbol
_atom_site_fract_x
_atom_site_fract_y
_atom_site_fract_z
Tc1 Tc 0.000 0.000 0.000
Hg1 Hg 0.250 0.250 0.250
Au1 Au 0.000 0.000 0.500

=====

Record 2
# Tc2HgAu PBE relaxed
# - Energy of formation: 0.35 eV per atom
# - Fermi-level density of states: 4.05 states/eV/f.u.
data_Tc2HgAu
_chemical_formula_sum 'Tc2 Hg1 Au1'
_symmetry_space_group_name_H-M 'P m m 2'
_symmetry_Int_Tables_number 25
_cell_length_a 2.898
_cell_length_b 3.867
_cell_length_c 6.101
_cell_angle_alpha 90.00
_cell_angle_beta 90.00
_cell_angle_gamma 90.00
loop_
_symmetry_equiv_pos_as_xyz
'x,y,z'
'-x,-y,z'
'-x,y,z'
'x,-y,z'
loop_
_atom_site_label
_atom_site_type_symbol
_atom_site_fract_x
_atom_site_fract_y
_atom_site_fract_z
Tc1 Tc 0.000 0.000 0.000
Tc2 Tc 0.500 0.500 0.177
Hg1 Hg 0.500 0.500 0.715
Au1 Au 0.000 0.000 0.447

=====

Record 3
# TcHgAu2 PBE relaxed
# - Energy of formation: 0.40 eV per atom
# - Fermi-level density of states: 3.07 states/eV/f.u.
data_TcHgAu2
_chemical_formula_sum 'Tc1 Hg1 Au2'
_symmetry_space_group_name_H-M 'P m m m'
_symmetry_Int_Tables_number 47
_cell_length_a 2.826
_cell_length_b 4.094
_cell_length_c 6.261
_cell_angle_alpha 90.00
_cell_angle_beta 90.00
_cell_angle_gamma 90.00
loop_
_symmetry_equiv_pos_as_xyz
'x,y,z'
'-x,-y,-z'
'-x,-y,z'
'x,y,-z'
'x,-y,-z'
'-x,y,z'
'-x,y,-z'
'x,-y,z'
loop_
_atom_site_label
_atom_site_type_symbol
_atom_site_fract_x
_atom_site_fract_y
_atom_site_fract_z
Tc1 Tc 0.000 0.000 0.000
Hg1 Hg 0.000 0.000 0.500
Au1 Au 0.500 0.500 0.228

=====

Record 4
# Tc2HgAu PBE relaxed
# - Energy of formation: 0.64 eV per atom
# - Fermi-level density of states: 5.38 states/eV/f.u.
data_Tc2HgAu
_chemical_formula_sum 'Tc2 Hg1 Au1'
_symmetry_space_group_name_H-M 'P 4/m m m'
_symmetry_Int_Tables_number 123
_symmetry_space_group_name_Hall '-P 4 2'
_cell_length_a 2.789
_cell_length_b 2.789
_cell_length_c 8.652
_cell_angle_alpha 90.00
_cell_angle_beta 90.00
_cell_angle_gamma 90.00
loop_
_atom_site_label
_atom_site_type_symbol
_atom_site_fract_x
_atom_site_fract_y
_atom_site_fract_z
Tc1 Tc 0.000 0.000 0.241
Hg1 Hg 0.500 0.500 0.500
Au1 Au 0.500 0.500 0.000

=====

Record 5
# TcHgAu2 PBE relaxed
# - Energy of formation: 0.48 eV per atom
# - Fermi-level density of states: 3.84 states/eV/f.u.
data_TcHgAu2
_chemical_formula_sum 'Tc1 Hg1 Au2'
_symmetry_space_group_name_H-M 'P 4/m m m'
_symmetry_Int_Tables_number 123
_symmetry_space_group_name_Hall '-P 4 2'
_cell_length_a 4.188
_cell_length_b 4.188
_cell_length_c 4.159
_cell_angle_alpha 90.00
_cell_angle_beta 90.00
_cell_angle_gamma 90.00
loop_
_atom_site_label
_atom_site_type_symbol
_atom_site_fract_x
_atom_site_fract_y
_atom_site_fract_z
Tc1 Tc 0.000 0.000 0.000
Hg1 Hg 0.500 0.500 0.000
Au1 Au 0.000 0.500 0.500

=====

Record 6
# TcHg2Au PBE relaxed
# - Energy of formation: 0.53 eV per atom
# - Energy relative to the lowest polymorph listed for this composition: 91 meV/atom
# - Fermi-level density of states: 3.43 states/eV/f.u.
data_TcHg2Au
_chemical_formula_sum 'Tc1 Hg2 Au1'
_symmetry_space_group_name_H-M 'P m m 2'
_symmetry_Int_Tables_number 25
_cell_length_a 2.920
_cell_length_b 4.213
_cell_length_c 6.180
_cell_angle_alpha 90.00
_cell_angle_beta 90.00
_cell_angle_gamma 90.00
loop_
_symmetry_equiv_pos_as_xyz
'x,y,z'
'-x,-y,z'
'-x,y,z'
'x,-y,z'
loop_
_atom_site_label
_atom_site_type_symbol
_atom_site_fract_x
_atom_site_fract_y
_atom_site_fract_z
Tc1 Tc 0.000 0.000 0.000
Hg1 Hg 0.000 0.000 0.484
Hg2 Hg 0.500 0.500 0.768
Au1 Au 0.500 0.500 0.229

=====

| no. | V (Å³ per atom) |
| --- | --- |
| 1 | 19.2 |
| 2 | 17.1 |
| 3 | 18.1 |
| 4 | 16.8 |
| 5 | 18.2 |
| 6 | 19.0 |